No. 1
Density functional theory data (GGA-PBE) for an optimized crystal structure of TaCoBr.

Summary:
E_form (uncorrected)	0.69	eV per atom
DOS at the Fermi energy	0.7645	states/eV/atom

Lattice parameters (Å, degrees): 4.3083 4.3083 2.9421 90.00 90.00 120.00
Positions (direct):
1 Ta 0.0000 0.0000 0.0000
2 Co 0.3333 0.6667 0.4963
3 Br 0.6667 0.3333 0.4984

No. 2
Density functional theory data (GGA-PBE) for an optimized crystal structure of NaInSn5.

Summary:
DOS at the Fermi energy	0.4819	states/eV/atom
raw total energy	-3.41	eV per atom

Lattice parameters (Å, degrees): 8.1670 8.1670 6.4864 101.94 101.94 95.13
Positions (direct):
1 Na 0.0000 0.0000 0.0000
2 Na 0.0000 0.0000 0.5000
3 In 0.4334 0.5666 0.7500
4 In 0.5666 0.4334 0.2500
5 Sn 0.1093 0.3793 0.3785
6 Sn 0.1179 0.3762 0.8758
7 Sn 0.2952 0.7048 0.2500
8 Sn 0.3762 0.1179 0.3758
9 Sn 0.3793 0.1093 0.8785
10 Sn 0.6207 0.8907 0.1215
11 Sn 0.6238 0.8821 0.6242
12 Sn 0.7048 0.2952 0.7500
13 Sn 0.8821 0.6238 0.1242
14 Sn 0.8907 0.6207 0.6215

No. 3
Density functional theory data (GGA-PBE) for an optimized crystal structure of Ac6Ge2SbTe3.

Summary:
E_form (uncorrected)	-1.29	eV per atom
DOS at the Fermi energy	0.2258	states/eV/atom

Lattice parameters (Å, degrees): 10.5813 10.5813 9.5063 103.35 103.35 25.68
Positions (direct):
1 Ac 0.0086 0.0086 0.2497
2 Ac 0.3270 0.3270 0.4310
3 Ac 0.3332 0.3332 0.8955
4 Ac 0.6668 0.6668 0.1045
5 Ac 0.6730 0.6730 0.5690
6 Ac 0.9914 0.9914 0.7503
7 Ge 0.1670 0.1670 0.3337
8 Ge 0.8330 0.8330 0.6663
9 Sb 0.5000 0.5000 0.0000
10 Te 0.1638 0.1638 0.8338
11 Te 0.5000 0.5000 0.5000
12 Te 0.8362 0.8362 0.1662

Question: The highest DOS at the Fermi energy belongs to which entry?
Answer: TaCoBr

Question: Which of these has the lowest DOS at the Fermi energy?
Answer: Ac6Ge2SbTe3